No. 1
Here is an optimized crystal structure of Nd2ErCrN4 from Alexandria via LeMat-Bulk. Energies are from PBE-GGA.

abc: 3.418 6.084 12.225
angles: 90.00 90.00 106.32
Fractional positions:
Nd (0.633, 0.266, 0.042)
Er (0.879, 0.758, 0.250)
N (0.725, 0.451, 0.858)
Nd (0.367, 0.734, 0.542)
N (0.000, 0.000, 0.500)
N (0.275, 0.549, 0.142)
N (0.578, 0.156, 0.250)
N (0.000, 0.000, 0.000)
Er (0.121, 0.242, 0.750)
Cr (0.841, 0.682, 0.750)
Nd (0.367, 0.734, 0.958)
N (0.275, 0.549, 0.358)
N (0.725, 0.451, 0.642)
N (0.422, 0.844, 0.750)
Nd (0.633, 0.266, 0.458)
Cr (0.159, 0.318, 0.250)

Output
uncorrected formation energy: -0.99 eV per atom
symmetry: Cmcm

=====

No. 2
Here is an optimized crystal structure of CoRuCl2 from Alexandria via LeMat-Bulk. Energies are from PBE-GGA.

abc: 5.009 5.009 5.009
angles: 145.70 111.10 79.27
Fractional positions:
Cl (0.998, 0.998, 0.000)
Co (0.750, 0.250, 0.500)
Cl (0.502, 0.502, 0.000)
Ru (0.250, 0.750, 0.500)

Output
uncorrected formation energy: 0.60 eV per atom
symmetry: Immm
ΔE to the lowest computed polymorph: 570 meV per atom

=====

No. 3
Here is an optimized crystal structure of Ba4MgCu from Alexandria via LeMat-Bulk. Energies are from PBE-GGA.

abc: 7.386 7.386 7.386
angles: 60.00 60.00 60.00
Fractional positions:
Ba (0.375, 0.375, 0.375)
Ba (0.375, 0.375, 0.874)
Ba (0.375, 0.874, 0.375)
Ba (0.874, 0.375, 0.375)
Cu (0.750, 0.750, 0.750)
Mg (0.000, 0.000, 0.000)

Output
formation energy: 0.6353 eV per atom
symmetry: F-43m

=====

No. 4
Here is an optimized crystal structure of GdDy2Pt from Alexandria via LeMat-Bulk. Energies are from PBE-GGA.

abc: 3.884 3.884 9.576
angles: 78.30 78.30 60.00
Fractional positions:
Gd (0.500, 0.500, 0.500)
Pt (0.000, 0.000, 0.000)
Dy (0.727, 0.727, 0.819)
Dy (0.273, 0.273, 0.181)

Output
formation energy: -0.5021 eV per atom
symmetry: R-3m
ΔE to the lowest computed polymorph: 90 meV per atom

=====

No. 5
Here is an optimized crystal structure of LiMnPd2 from Alexandria via LeMat-Bulk. Energies are from PBE-GGA.

abc: 3.090 4.308 4.308
angles: 90.00 90.00 90.00
Fractional positions:
Pd (0.000, 0.000, 0.500)
Mn (0.500, 0.500, 0.500)
Pd (0.000, 0.500, 0.000)
Li (0.500, 0.000, 0.000)

Output
formation energy: -0.3524 eV per atom
symmetry: P4/mmm
ΔE to the lowest computed polymorph: 3 meV per atom

=====

No. 6
Here is an optimized crystal structure of Be2AlAg from Alexandria via LeMat-Bulk. Energies are from PBE-GGA.

abc: 4.165 4.165 4.165
angles: 60.00 60.00 60.00
Fractional positions:
Be (0.000, 0.000, 0.000)
Ag (0.500, 0.500, 0.500)
Be (0.250, 0.250, 0.250)
Al (0.750, 0.750, 0.750)

Output
formation energy: 0.3517 eV per atom
symmetry: F-43m

=====

No. 7
Here is an optimized crystal structure of Te2IrCl from Alexandria via LeMat-Bulk. Energies are from PBE-GGA.

abc: 7.116 7.116 7.012
angles: 59.51 59.51 90.00
Fractional positions:
Te (0.691, 0.125, 0.250)
Te (0.375, 0.309, 0.750)
Ir (0.750, 0.250, 0.500)
Cl (0.500, 0.500, 0.000)
Te (0.875, 0.941, 0.750)
Ir (0.000, 0.000, 0.000)
Cl (0.250, 0.750, 0.500)
Te (0.059, 0.625, 0.250)

Output
uncorrected formation energy: 0.01 eV per atom
symmetry: I-42d
ΔE to the lowest computed polymorph: 351 meV per atom

=====

No. 8
Here is an optimized crystal structure of Li6Nd2Au3 from Alexandria via LeMat-Bulk. Energies are from PBE-GGA.

abc: 4.072 8.055 8.055
angles: 120.00 90.00 90.00
Fractional positions:
Li (0.500, 0.738, 0.738)
Nd (0.000, 0.667, 0.333)
Au (0.500, 0.405, 0.405)
Au (0.500, 0.000, 0.595)
Li (0.500, 0.262, 0.000)
Au (0.500, 0.595, 0.000)
Li (0.000, 0.795, 0.000)
Li (0.500, 0.000, 0.262)
Li (0.000, 0.205, 0.205)
Li (0.000, 0.000, 0.795)
Nd (0.000, 0.333, 0.667)

Output
formation energy: -0.4010 eV per atom
symmetry: P-62m

=====

No. 9
Here is an optimized crystal structure of SrRePb3 from Alexandria via LeMat-Bulk. Energies are from PBE-GGA.

abc: 5.421 5.421 5.421
angles: 90.00 90.00 90.00
Fractional positions:
Pb (0.000, 0.500, 0.000)
Sr (0.500, 0.500, 0.500)
Re (0.000, 0.000, 0.000)
Pb (0.500, 0.000, 0.000)
Pb (0.000, 0.000, 0.500)

Output
formation energy: 0.3689 eV per atom
symmetry: Pm-3m
ΔE to the lowest computed polymorph: 0 meV per atom

=====

No. 10
Here is an optimized crystal structure of Mg3H2Ir3 from Alexandria via LeMat-Bulk. Energies are from PBE-GGA.

abc: 4.511 5.512 4.576
angles: 90.00 120.48 89.63
Fractional positions:
Mg (0.222, 0.880, 0.296)
Ir (0.565, 0.724, 0.980)
H (0.395, 0.547, 0.620)
Ir (0.222, 0.380, 0.249)
H (0.046, 0.213, 0.445)
Mg (0.889, 0.548, 0.618)
Ir (0.878, 0.036, 0.637)
Mg (0.555, 0.212, 0.951)

Output
symmetry: P1
ΔE to the lowest computed polymorph: 3 meV per atom

=====

No. 11
Here is an optimized crystal structure of Tb3Nd6Tm2Th from Alexandria via LeMat-Bulk. Energies are from PBE-GGA.

abc: 6.257 6.257 11.957
angles: 95.03 95.03 119.96
Fractional positions:
Nd (0.917, 0.587, 0.752)
Tm (0.333, 0.667, 0.000)
Tb (0.167, 0.833, 0.500)
Nd (0.753, 0.753, 0.248)
Tm (0.667, 0.333, 0.000)
Nd (0.413, 0.083, 0.248)
Nd (0.083, 0.413, 0.248)
Th (0.000, 0.000, 0.000)
Nd (0.247, 0.247, 0.752)
Tb (0.833, 0.167, 0.500)
Tb (0.500, 0.500, 0.500)
Nd (0.587, 0.917, 0.752)

Output
formation energy: 0.0319 eV per atom
symmetry: C2/m

=====

No. 12
Here is an optimized crystal structure of Cs2AgWI6 from Alexandria via LeMat-Bulk. Energies are from PBE-GGA.

abc: 8.332 8.332 8.332
angles: 60.00 60.00 90.00
Fractional positions:
I (0.760, 0.760, 0.480)
I (0.240, 0.760, 0.000)
Cs (0.250, 0.750, 0.500)
I (0.760, 0.760, 0.000)
Ag (0.500, 0.500, 0.000)
I (0.240, 0.240, 0.520)
W (0.000, 0.000, 0.000)
Cs (0.750, 0.250, 0.500)
I (0.760, 0.240, 0.000)
I (0.240, 0.240, 0.000)

Output
uncorrected formation energy: -0.58 eV per atom
symmetry: Fm-3m

=====

No. 13
Here is an optimized crystal structure of TeOsC2 from Alexandria via LeMat-Bulk. Energies are from PBE-GGA.

abc: 5.242 5.242 5.928
angles: 63.76 63.76 90.00
Fractional positions:
C (0.710, 0.125, 0.250)
C (0.875, 0.960, 0.750)
C (0.040, 0.625, 0.250)
Os (0.000, 0.000, 0.000)
Te (0.250, 0.750, 0.500)
C (0.375, 0.290, 0.750)
Te (0.500, 0.500, 0.000)
Os (0.750, 0.250, 0.500)

Output
uncorrected formation energy: 1.24 eV per atom
symmetry: I-42d

=====

No. 14
Here is an optimized crystal structure of Sc2SiH from Alexandria via LeMat-Bulk. Energies are from PBE-GGA.

abc: 6.251 6.251 5.476
angles: 55.20 55.20 90.00
Fractional positions:
Si (0.750, 0.250, 0.500)
H (0.500, 0.500, 0.000)
Sc (0.375, 0.453, 0.750)
Sc (0.875, 0.797, 0.750)
H (0.250, 0.750, 0.500)
Sc (0.547, 0.125, 0.250)
Sc (0.203, 0.625, 0.250)
Si (0.000, 0.000, 0.000)

Output
symmetry: I-42d

=====

No. 15
Here is an optimized crystal structure of Y2HSe2 from Alexandria via LeMat-Bulk. Energies are from PBE-GGA.

abc: 3.787 5.413 10.873
angles: 90.00 90.00 110.47
Fractional positions:
Se (0.674, 0.348, 0.339)
H (0.360, 0.719, 0.500)
H (0.640, 0.281, 0.000)
Y (0.234, 0.469, 0.137)
Y (0.766, 0.531, 0.637)
Se (0.326, 0.652, 0.839)
Y (0.957, 0.914, 0.383)
Se (0.057, 0.114, 0.626)
Y (0.043, 0.086, 0.883)
Se (0.943, 0.886, 0.126)

Output
symmetry: Cmc2_1

=====

No. 16
Here is an optimized crystal structure of Sm12Ga6Co from Alexandria via LeMat-Bulk. Energies are from PBE-GGA.

abc: 8.147 8.147 8.147
angles: 93.02 93.02 93.02
Fractional positions:
Sm (0.685, 0.039, 0.917)
Ga (0.857, 0.263, 0.652)
Sm (0.315, 0.961, 0.083)
Ga (0.348, 0.143, 0.737)
Ga (0.263, 0.652, 0.857)
Sm (0.573, 0.449, 0.805)
Sm (0.083, 0.315, 0.961)
Co (0.000, 0.000, 0.000)
Sm (0.805, 0.573, 0.449)
Sm (0.551, 0.195, 0.427)
Ga (0.652, 0.857, 0.263)
Ga (0.737, 0.348, 0.143)
Sm (0.427, 0.551, 0.195)
Sm (0.195, 0.427, 0.551)
Sm (0.449, 0.805, 0.573)
Ga (0.143, 0.737, 0.348)
Sm (0.961, 0.083, 0.315)
Sm (0.039, 0.917, 0.685)
Sm (0.917, 0.685, 0.039)

Output
formation energy: -0.2827 eV per atom
symmetry: R-3

=====

No. 17
Here is an optimized crystal structure of BaInHg3 from Alexandria via LeMat-Bulk. Energies are from PBE-GGA.

abc: 5.827 7.328 8.084
angles: 90.00 90.00 90.00
Fractional positions:
Hg (0.000, 0.653, 0.326)
Ba (0.500, 0.000, 0.000)
Ba (0.500, 0.500, 0.500)
Hg (0.500, 0.500, 0.000)
Hg (0.500, 0.000, 0.500)
Hg (0.000, 0.153, 0.174)
In (0.000, 0.500, 0.000)
In (0.000, 0.000, 0.500)
Hg (0.000, 0.347, 0.674)
Hg (0.000, 0.847, 0.826)

Output
formation energy: -0.1859 eV per atom
symmetry: Pbam
ΔE to the lowest computed polymorph: 150 meV per atom

=====

No. 18
Here is an optimized crystal structure of Ag3Hg3Pb from Alexandria via LeMat-Bulk. Energies are from PBE-GGA.

abc: 7.668 7.668 7.668
angles: 90.00 90.00 90.00
Fractional positions:
Hg (0.000, 0.500, 0.750)
Ag (0.000, 0.250, 0.500)
Ag (0.500, 0.000, 0.250)
Hg (0.250, 0.000, 0.500)
Pb (0.000, 0.000, 0.000)
Ag (0.250, 0.500, 0.000)
Hg (0.500, 0.750, 0.000)
Hg (0.750, 0.000, 0.500)
Ag (0.750, 0.500, 0.000)
Pb (0.500, 0.500, 0.500)
Ag (0.500, 0.000, 0.750)
Hg (0.500, 0.250, 0.000)
Ag (0.000, 0.750, 0.500)
Hg (0.000, 0.500, 0.250)

Output
formation energy: 0.5071 eV per atom
symmetry: Pm-3n

=====

No. 19
Here is an optimized crystal structure of CoNi4Ag from Alexandria via LeMat-Bulk. Energies are from PBE-GGA.

abc: 4.715 4.715 4.715
angles: 60.00 60.00 60.00
Fractional positions:
Ni (0.375, 0.876, 0.375)
Ni (0.876, 0.375, 0.375)
Ni (0.375, 0.375, 0.876)
Ag (0.750, 0.750, 0.750)
Co (0.000, 0.000, 0.000)
Ni (0.375, 0.375, 0.375)

Output
formation energy: 0.2524 eV per atom
symmetry: F-43m

=====

No. 20
Here is an optimized crystal structure of TmPuMg2 from Alexandria via LeMat-Bulk. Energies are from PBE-GGA.

abc: 4.893 4.642 4.642
angles: 90.00 90.00 90.00
Fractional positions:
Tm (0.500, 0.000, 0.000)
Pu (0.500, 0.500, 0.500)
Mg (0.000, 0.000, 0.500)
Mg (0.000, 0.500, 0.000)

Output
formation energy: 0.1462 eV per atom
symmetry: P4/mmm
ΔE to the lowest computed polymorph: 62 meV per atom

=====

No. 21
Here is an optimized crystal structure of Sr4RhI5 from Alexandria via LeMat-Bulk. Energies are from PBE-GGA.

abc: 4.590 9.299 10.419
angles: 103.53 102.72 90.00
Fractional positions:
I (0.170, 0.838, 0.341)
Rh (0.500, 0.000, 0.000)
Sr (0.349, 0.915, 0.698)
I (0.830, 0.162, 0.659)
Sr (0.651, 0.085, 0.302)
I (0.833, 0.660, 0.667)
I (0.167, 0.340, 0.333)
I (0.500, 0.500, 0.000)
Sr (0.000, 0.226, 0.001)
Sr (0.000, 0.774, 0.999)

Output
uncorrected formation energy: -1.31 eV per atom
symmetry: C2/m

=====

No. 22
Here is an optimized crystal structure of SrSn2Pb4 from Alexandria via LeMat-Bulk. Energies are from PBE-GGA.

abc: 4.822 4.887 10.193
angles: 103.87 90.00 90.00
Fractional positions:
Pb (0.000, 0.681, 0.362)
Pb (0.000, 0.319, 0.638)
Pb (0.500, 0.824, 0.647)
Sn (0.500, 0.426, 0.853)
Sr (0.000, 0.000, 0.000)
Pb (0.500, 0.176, 0.353)
Sn (0.500, 0.574, 0.147)

Output
formation energy: -0.1795 eV per atom
symmetry: Cmmm

=====

No. 23
Here is an optimized crystal structure of YP2SCl from Alexandria via LeMat-Bulk. Energies are from PBE-GGA.

abc: 4.568 4.568 4.874
angles: 90.00 90.00 90.00
Fractional positions:
P (0.500, 0.000, 0.000)
P (0.000, 0.500, 0.000)
Y (0.500, 0.500, 0.500)
S (0.000, 0.000, 0.500)
Cl (0.000, 0.000, 0.000)

Output
uncorrected formation energy: 0.27 eV per atom
symmetry: P4/mmm
ΔE to the lowest computed polymorph: 339 meV per atom

=====

No. 24
Here is an optimized crystal structure of OsRu from Alexandria via LeMat-Bulk. Energies are from PBE-GGA.

abc: 4.222 4.222 7.959
angles: 90.00 90.00 120.00
Fractional positions:
Ru (0.667, 0.333, 0.250)
Ru (0.000, 0.000, 0.750)
Os (0.333, 0.667, 0.090)
Os (0.333, 0.667, 0.410)
Ru (0.000, 0.000, 0.250)
Os (0.667, 0.333, 0.910)
Os (0.667, 0.333, 0.590)
Ru (0.333, 0.667, 0.750)

Output
formation energy: 0.6380 eV per atom
symmetry: P6_3/mmc

=====

| no. | DFT total energy (eV/atom) |
| --- | --- |
| 1 | -8.12 |
| 2 | -4.42 |
| 3 | -1.59 |
| 4 | -7.83 |
| 5 | -5.72 |
| 6 | -3.16 |
| 7 | -4.23 |
| 8 | -3.21 |
| 9 | -4.68 |
| 10 | -5.06 |
| 11 | -4.87 |
| 12 | -3.26 |
| 13 | -6.96 |
| 14 | -5.84 |
| 15 | -6.03 |
| 16 | -4.59 |
| 17 | -1.30 |
| 18 | -1.37 |
| 19 | -5.26 |
| 20 | -5.35 |
| 21 | -3.49 |
| 22 | -3.68 |
| 23 | -4.38 |
| 24 | -9.61 |